(1)
TlInAs3: optimized geometry, GGA-PBE.

Unit cell a=5.330 b=5.330 c=5.330 alpha=90.00 beta=90.00 gamma=90.00
Space group Pm-3m (No. 221)
Symmetry-distinct sites (fractional):
Tl  0.000  0.000  0.000 x1
In  0.500  0.500  0.500 x1
As  0.000  0.500  0.500 x3

Its total magnetic moment is 0.0 μB/f.u. The value obtained for the formation energy from the elements is 0.687 eV per atom.

=====

(2)
MnTcPPdCl: optimized geometry, GGA-PBE.

Unit cell a=3.812 b=3.816 c=7.449 alpha=76.42 beta=75.94 gamma=60.12
Space group P1 (No. 1)
Symmetry-distinct sites (fractional):
Mn  0.000  0.000  0.000 x1
Tc  0.412  0.404  0.759 x1
P  0.710  0.706  0.869 x1
Pd  0.277  0.283  0.174 x1
Cl  0.164  0.170  0.507 x1

Its total magnetic moment is 4.0 μB/f.u. The value obtained for the uncorrected formation energy is -0.10 eV/atom.

=====

Copy entry 1 word for word.
TlInAs3: optimized geometry, GGA-PBE.

Unit cell a=5.330 b=5.330 c=5.330 alpha=90.00 beta=90.00 gamma=90.00
Space group Pm-3m (No. 221)
Symmetry-distinct sites (fractional):
Tl  0.000  0.000  0.000 x1
In  0.500  0.500  0.500 x1
As  0.000  0.500  0.500 x3

Its total magnetic moment is 0.0 μB/f.u. The value obtained for the formation energy from the elements is 0.687 eV per atom.

=====

Question: Which value of total magnetic moment does entry 2 give?
Answer: 4.0 μB/f.u.